Compound: UGaPb2O6
Source: the Alexandria database
Functional: PBE
Structure: relaxed

Its formation energy from raw total energies is -1.99 eV per atom.

The space group is P4/mmm (No. 123) and the conventional cell measures 4.205, 4.205 and 8.234 Å, with angles of 90.00, 90.00 and 90.00 degrees. Symmetry generates all atoms from U at (0.000, 0.000, 0.000), Ga at (0.000, 0.000, 0.500), Pb at (0.500, 0.500, 0.298), O at (0.000, 0.000, 0.262), O at (0.000, 0.500, 0.000) and O at (0.000, 0.500, 0.500).